# CoOsCl2 | Alexandria via LeMat-Bulk | PBE-GGA | relaxed
data_CoOsCl2
_chemical_formula_sum 'Co2 Os2 Cl4'
_symmetry_space_group_name_H-M 'C 1 2/m 1'
_symmetry_Int_Tables_number 12
_cell_length_a 13.964
_cell_length_b 2.878
_cell_length_c 4.351
_cell_angle_alpha 90.00
_cell_angle_beta 91.75
_cell_angle_gamma 90.00
loop_
_symmetry_equiv_pos_as_xyz
'x,y,z'
'-x,-y,-z'
'-x,y,-z'
'x,-y,z'
'x+1/2,y+1/2,z'
'-x+1/2,-y+1/2,-z'
'-x+1/2,y+1/2,-z'
'x+1/2,-y+1/2,z'
loop_
_atom_site_label
_atom_site_type_symbol
_atom_site_fract_x
_atom_site_fract_y
_atom_site_fract_z
_atom_site_occupancy
Co1 Co 0.000 0.000 0.000 1
Os1 Os 0.000 0.500 0.500 1
Cl1 Cl 0.138 0.500 0.225 1
# Energy above the lowest structure with this stoichiometry ... 232 meV/atom
# E ... -5.089 eV per atom
# Uncorrected formation energy ... 1.7 eV per formula unit